(1)
## YGa3Au6 (PBE)

Data for a relaxed structure of YGa3Au6.

Output
Formation enthalpy at 0 K (eV per formula unit): -3.50

```
YGa3Au6
1.0
-3.1992 -1.1255 -2.1034
-2.4212 -5.6755 6.7194
-5.2736 9.3026 3.0431
Au Ga Y
12 6 2
direct
0.2500 0.2631 0.6806 Au
0.2500 0.1733 0.9232 Au
0.7500 0.8267 0.0768 Au
0.2500 0.9003 0.5331 Au
0.7500 0.4377 0.5729 Au
0.7500 0.4022 0.0426 Au
0.2500 0.5978 0.9574 Au
0.7500 0.0997 0.4669 Au
0.7500 0.7369 0.3194 Au
0.2500 0.2841 0.2014 Au
0.7500 0.7159 0.7986 Au
0.2500 0.5623 0.4271 Au
0.7500 0.1192 0.0904 Ga
0.2500 0.2803 0.4327 Ga
0.7500 0.4218 0.8122 Ga
0.7500 0.7197 0.5673 Ga
0.2500 0.8808 0.9096 Ga
0.2500 0.5782 0.1878 Ga
0.7500 0.0320 0.7350 Y
0.2500 0.9680 0.2650 Y
```


(2)
## AlFeMoIr (PBE)

Data for a relaxed structure of AlFeMoIr.

Output
Formation enthalpy at 0 K (eV per formula unit): -0.98

```
AlFeMoIr
1.0
4.2973 0.0000 0.0000
2.1487 3.7216 0.0000
2.1487 1.2405 3.5088
Mo Ir Al Fe
1 1 1 1
direct
0.5000 0.5000 0.5000 Mo
0.2500 0.2500 0.2500 Ir
0.0000 0.0000 0.0000 Al
0.7500 0.7500 0.7500 Fe
```


(3)
## CaSeS2Cl (PBE)

Data for a relaxed structure of CaSeS2Cl.

Output
Formation energy (no corrections) (meV/atom): 87
ΔE to the lowest computed polymorph (eV/f.u.): 3.12

```
CaSeS2Cl
1.0
-3.0554 4.1389 -1.5898
-1.9792 -3.0009 -4.0088
-3.6704 -1.5638 2.9828
Cl S Se Ca
1 2 1 1
direct
0.0000 0.0000 0.5000 Cl
0.5000 0.0000 0.0000 S
0.0000 0.5000 0.0000 S
0.5000 0.5000 0.5000 Se
0.0000 0.0000 0.0000 Ca
```


(4)
## Mg2TaSb (PBE)

Data for a relaxed structure of Mg2TaSb.

Output
Formation energy (no corrections) (meV/atom): 217

```
Mg2TaSb
1.0
-5.1113 -0.0429 0.3825
0.1055 -2.7873 1.0969
0.4051 0.8088 5.5030
Ta Mg Sb
1 2 1
direct
0.5000 0.7500 0.7500 Ta
0.0000 0.0659 0.9928 Mg
0.0000 0.4341 0.5072 Mg
0.5000 0.2500 0.2500 Sb
```


(5)
## HfZrFe2 (PBE)

Data for a relaxed structure of HfZrFe2.

Output
Formation enthalpy at 0 K (eV per formula unit): -1.00

```
HfZrFe2
1.0
-3.9757 -1.6051 1.2228
-3.3323 -0.1903 -2.9560
-1.3834 -3.9453 -1.5488
Zr Fe Hf
1 2 1
direct
0.0000 0.0000 0.0000 Zr
0.7500 0.7500 0.7500 Fe
0.2500 0.2500 0.2500 Fe
0.5000 0.5000 0.5000 Hf
```


(6)
## BeReHg2 (PBE)

Data for a relaxed structure of BeReHg2.

Output
Formation enthalpy at 0 K (eV per formula unit): 3.79

```
BeReHg2
1.0
-0.6068 2.9401 4.3554
-0.0244 -2.4828 4.6708
3.0250 0.0724 -4.3389
Re Hg Be
1 2 1
direct
0.2500 0.7500 0.5000 Re
0.5000 0.5000 0.0000 Hg
0.0000 0.0000 0.0000 Hg
0.7500 0.2500 0.5000 Be
```


(7)
## AcPtPbO (PBE)

Data for a relaxed structure of AcPtPbO.

Output
Formation energy (no corrections) (meV/atom): -1368

```
AcPtPbO
1.0
-3.3337 -0.3488 1.1502
1.1982 -1.2308 3.0996
1.2814 8.2699 0.7628
Pt Pb Ac O
1 1 1 1
direct
0.5614 0.5614 0.1228 Pt
0.1530 0.1530 0.3061 Pb
0.9152 0.9152 0.8305 Ac
0.3824 0.3824 0.7649 O
```


(8)
## InFeAsBr2 (PBE)

Data for a relaxed structure of InFeAsBr2.

Output
Formation energy (no corrections) (meV/atom): 13
ΔE to the lowest computed polymorph (eV/f.u.): 0.00

```
InFeAsBr2
1.0
-4.9939 1.1251 1.7439
-1.9434 -0.9408 -4.9583
-0.6113 -4.3698 1.0687
In Br Fe As
1 2 1 1
direct
0.5000 0.5000 0.5000 In
0.0000 0.5000 0.0000 Br
0.5000 0.0000 0.0000 Br
0.0000 0.0000 0.0000 Fe
0.0000 0.0000 0.5000 As
```


Number 1: VASP energy -77.42 eV per cell, N(E_F) 6.86 states/eV per cell. Number 2: VASP energy -32.88 eV per cell, N(E_F) 3.28 states/eV per cell. Number 3: VASP energy -15.15 eV per cell, N(E_F) 6.04 states/eV per cell. Number 4: VASP energy -18.30 eV per cell, N(E_F) 1.94 states/eV per cell. Number 5: VASP energy -36.42 eV per cell, N(E_F) 1.10 states/eV per cell. Number 6: VASP energy -12.99 eV per cell, N(E_F) 2.83 states/eV per cell. Number 7: VASP energy -24.29 eV per cell, N(E_F) 1.75 states/eV per cell. Number 8: VASP energy -19.13 eV per cell, N(E_F) 4.49 states/eV per cell.